# ZnRe3W (PBE-GGA, relaxed)
data_ZnRe3W
_chemical_formula_sum 'Zn1 Re3 W1'
_space_group_name_H-M_alt 'P m -3 m'
_space_group_IT_number 221
_space_group_name_Hall '-P 4 2 3'
_cell_length_a 4.417
_cell_length_b 4.417
_cell_length_c 4.417
_cell_angle_alpha 90.00
_cell_angle_beta 90.00
_cell_angle_gamma 90.00
loop_
_atom_site_label
_atom_site_fract_x
_atom_site_fract_y
_atom_site_fract_z
_atom_site_occupancy
Zn1 0.000 0.000 0.000 1
Re1 0.000 0.000 0.500 1
W1 0.500 0.500 0.500 1
# energy of formation	192.6	kJ/mol of atoms
# density of states at the Fermi level	5.3	states/eV/cell
# total magnetic moment	0.000	μB per cell


# Ti2ReH (PBE-GGA, relaxed)
data_Ti2ReH
_chemical_formula_sum 'Ti8 Re4 H4'
_space_group_name_H-M_alt 'F m -3 m'
_space_group_IT_number 225
_space_group_name_Hall '-F 4 2 3'
_cell_length_a 6.043
_cell_length_b 6.043
_cell_length_c 6.043
_cell_angle_alpha 90.00
_cell_angle_beta 90.00
_cell_angle_gamma 90.00
loop_
_atom_site_label
_atom_site_fract_x
_atom_site_fract_y
_atom_site_fract_z
_atom_site_occupancy
Ti1 0.250 0.250 0.250 1
Re1 0.000 0.000 0.000 1
H1 0.000 0.000 0.500 1
# density of states at the Fermi level	23.8	states/eV/cell
# uncorrected energy	-7.60	eV per atom
# total magnetic moment	0.000	μB per cell


# Pm2PrNd3 (PBE-GGA, relaxed)
data_Pm2PrNd3
_chemical_formula_sum 'Pm4 Pr2 Nd6'
_space_group_name_H-M_alt 'I m m m'
_space_group_IT_number 71
_space_group_name_Hall '-I 2 2'
_cell_length_a 3.532
_cell_length_b 6.105
_cell_length_c 19.842
_cell_angle_alpha 90.00
_cell_angle_beta 90.00
_cell_angle_gamma 90.00
loop_
_atom_site_label
_atom_site_fract_x
_atom_site_fract_y
_atom_site_fract_z
_atom_site_occupancy
Pm1 0.000 0.000 0.139 1
Pr1 0.000 0.000 0.500 1
Nd1 0.000 0.000 0.311 1
Nd2 0.000 0.500 0.500 1
# energy of formation	29.4	kJ/mol of atoms
# density of states at the Fermi level	21.7	states/eV/cell
# total magnetic moment	0.003	μB per cell


# Sr3Zn4Pd2 (PBE-GGA, relaxed)
data_Sr3Zn4Pd2
_chemical_formula_sum 'Sr6 Zn8 Pd4'
_space_group_name_H-M_alt 'C 1 2/m 1'
_space_group_IT_number 12
_space_group_name_Hall '-C 2y'
_cell_length_a 11.577
_cell_length_b 4.502
_cell_length_c 8.851
_cell_angle_alpha 90.00
_cell_angle_beta 103.71
_cell_angle_gamma 90.00
loop_
_atom_site_label
_atom_site_fract_x
_atom_site_fract_y
_atom_site_fract_z
_atom_site_occupancy
Sr1 0.000 0.000 0.000 1
Sr2 0.171 0.500 0.660 1
Zn1 0.051 0.000 0.381 1
Zn2 0.222 0.500 0.058 1
Pd1 0.107 0.500 0.275 1
# energy of formation	-42.7	kJ/mol of atoms
# density of states at the Fermi level	11.0	states/eV/cell
# total magnetic moment	0.000	μB per cell


# NaVC (PBE-GGA, relaxed)
data_NaVC
_chemical_formula_sum 'Na2 V2 C2'
_space_group_name_H-M_alt 'P 1'
_space_group_IT_number 1
_space_group_name_Hall 'P 1'
_cell_length_a 3.247
_cell_length_b 3.890
_cell_length_c 7.704
_cell_angle_alpha 80.55
_cell_angle_beta 87.51
_cell_angle_gamma 87.28
loop_
_atom_site_label
_atom_site_fract_x
_atom_site_fract_y
_atom_site_fract_z
_atom_site_occupancy
Na1 0.000 0.000 0.000 1
Na2 0.449 0.396 0.282 1
V1 0.358 0.590 0.675 1
V2 0.851 0.096 0.614 1
C1 0.036 0.895 0.394 1
C2 0.858 0.625 0.504 1
# energy of formation	46.9	kJ/mol of atoms
# density of states at the Fermi level	1.7	states/eV/cell
# total magnetic moment	0.000	μB per cell


# BeZn2Ir (PBE-GGA, relaxed)
data_BeZn2Ir
_chemical_formula_sum 'Be2 Zn4 Ir2'
_space_group_name_H-M_alt 'C m m 2'
_space_group_IT_number 35
_space_group_name_Hall 'C 2 -2'
_cell_length_a 2.820
_cell_length_b 4.675
_cell_length_c 8.238
_cell_angle_alpha 90.00
_cell_angle_beta 90.00
_cell_angle_gamma 90.00
loop_
_atom_site_label
_atom_site_fract_x
_atom_site_fract_y
_atom_site_fract_z
_atom_site_occupancy
Be1 0.000 0.000 0.000 1
Zn1 0.000 0.000 0.480 1
Zn2 0.000 0.500 0.759 1
Ir1 0.000 0.500 0.210 1
# energy of formation	0.2	kJ/mol of atoms
# density of states at the Fermi level	4.6	states/eV/cell
# total magnetic moment	0.000	μB per cell


# BaLiFeH2 (PBE-GGA, relaxed)
data_BaLiFeH2
_chemical_formula_sum 'Ba1 Li1 Fe1 H2'
_space_group_name_H-M_alt 'P 4/m m m'
_space_group_IT_number 123
_space_group_name_Hall '-P 4 2'
_cell_length_a 4.714
_cell_length_b 4.714
_cell_length_c 7.479
_cell_angle_alpha 90.00
_cell_angle_beta 90.00
_cell_angle_gamma 90.00
loop_
_atom_site_label
_atom_site_fract_x
_atom_site_fract_y
_atom_site_fract_z
_atom_site_occupancy
Ba1 0.000 0.000 0.000 1
Li1 0.000 0.000 0.500 1
Fe1 0.500 0.500 0.500 1
H1 0.000 0.500 0.000 1
# density of states at the Fermi level	11.5	states/eV/cell
# uncorrected energy	-2.90	eV per atom
# total magnetic moment	3.171	μB per cell


# Be2InFe (PBE-GGA, relaxed)
data_Be2InFe
_chemical_formula_sum 'Be4 In2 Fe2'
_space_group_name_H-M_alt 'C 1 2/m 1'
_space_group_IT_number 12
_space_group_name_Hall '-C 2y'
_cell_length_a 7.962
_cell_length_b 3.010
_cell_length_c 4.391
_cell_angle_alpha 90.00
_cell_angle_beta 105.43
_cell_angle_gamma 90.00
loop_
_atom_site_label
_atom_site_fract_x
_atom_site_fract_y
_atom_site_fract_z
_atom_site_occupancy
Be1 0.215 0.000 0.129 1
In1 0.000 0.000 0.500 1
Fe1 0.000 0.500 0.000 1
# energy of formation	21.3	kJ/mol of atoms
# density of states at the Fermi level	3.1	states/eV/cell
# total magnetic moment	0.000	μB per cell